First-principles (GGA-PBE) data for crystalline Cu3Pd5Au2 at its relaxed geometry, as listed in Alexandria via LeMat-Bulk.

Summary:
M_tot (μB/atom): 0.00
Energy relative to the lowest polymorph listed for this composition (meV/atom): 0
Calculated volume (Å³ per cell): 321.4
Theoretical density (g/cm3): 11.54
Energy relative to the elements (eV/atom): 0.075

a = 6.789 Å, b = 6.789 Å, c = 8.041 Å
α = 107.50°, β = 107.50°, γ = 100.61°
Fractional coordinates of all 20 atoms:
1 Cu 0.041 0.257 0.071
2 Cu 0.245 0.755 0.750
3 Cu 0.257 0.041 0.571
4 Cu 0.743 0.959 0.429
5 Cu 0.755 0.245 0.250
6 Cu 0.959 0.743 0.929
7 Pd 0.003 0.997 0.750
8 Pd 0.179 0.451 0.879
9 Pd 0.250 0.750 0.250
10 Pd 0.451 0.179 0.379
11 Pd 0.496 0.504 0.250
12 Pd 0.504 0.496 0.750
13 Pd 0.549 0.821 0.621
14 Pd 0.750 0.250 0.750
15 Pd 0.821 0.549 0.121
16 Pd 0.997 0.003 0.250
17 Au 0.172 0.454 0.430
18 Au 0.454 0.172 0.930
19 Au 0.546 0.828 0.070
20 Au 0.828 0.546 0.570